(1)
This record from Alexandria describes a geometry-optimized MnFe2Ru structure. The functional is PBE.

Computed properties:
The total energy comes out at -8.200 eV per atom.

POSCAR file:
```
MnFe2Ru
1.0
3.511 0.000 0.000
0.000 3.511 0.000
1.756 1.756 8.318
Ru Mn Fe
2 2 4
Cartesian
0.000 0.000 0.000
3.511 1.756 4.159
1.756 1.756 0.000
1.756 3.511 4.159
2.546 0.878 2.079
0.965 2.634 2.079
2.634 2.721 6.238
4.389 4.302 6.238
```

(2)
This record from Alexandria describes a geometry-optimized MnFeRu2 structure. The functional is PBE.

Computed properties:
The total energy comes out at -8.922 eV per atom.

POSCAR file:
```
MnFeRu2
1.0
2.622 0.000 0.000
0.000 3.665 0.000
0.000 0.000 5.237
Fe Mn Ru
1 1 2
Cartesian
1.311 1.833 1.309
1.311 1.833 3.927
0.000 0.000 0.003
0.000 0.000 2.616
```

(3)
This record from Alexandria describes a geometry-optimized MnFe2Ru structure. The functional is PBE.

Computed properties:
The total energy comes out at -8.674 eV per atom.

POSCAR file:
```
MnFe2Ru
1.0
-4.366 2.047 -0.559
0.901 -2.293 4.183
0.192 1.982 1.600
Fe Mn Ru
2 1 1
Cartesian
0.000 0.000 0.000
-1.733 -0.123 1.812
-2.087 2.015 0.520
0.547 -0.155 2.892
```

(4)
This record from Alexandria describes a geometry-optimized MnFe2Ru structure. The functional is PBE.

Computed properties:
The total energy comes out at -8.678 eV per atom.

POSCAR file:
```
MnFe2Ru
1.0
-3.737 0.397 1.747
-1.007 -1.483 -1.818
0.528 -4.235 2.091
Fe Mn Ru
2 1 1
Cartesian
-0.005 -0.041 -0.001
-0.235 -2.818 0.138
-1.988 -1.231 0.942
-2.228 -4.090 1.078
```

(5)
This record from Alexandria describes a geometry-optimized MnFeRu2 structure. The functional is PBE.

Computed properties:
The total energy comes out at -8.952 eV per atom.

POSCAR file:
```
MnFeRu2
1.0
4.408 0.147 0.000
-1.254 4.229 0.000
0.000 0.000 2.764
Fe Mn Ru
1 1 2
Cartesian
2.204 0.074 1.382
-0.627 2.114 1.382
0.000 0.000 0.000
1.577 2.188 0.000
```

(6)
This record from Alexandria describes a geometry-optimized MnFeRu structure. The functional is PBE.

Computed properties:
The distance to the lowest polymorph of the same formula comes out at 89 meV per atom.

POSCAR file:
```
MnFeRu
1.0
2.787 0.000 0.000
0.000 2.787 0.000
-1.394 -1.394 9.876
Fe Mn Ru
2 2 2
Cartesian
0.000 0.000 5.644
1.394 1.394 4.232
0.000 0.000 2.715
1.394 1.394 7.161
1.394 1.394 1.213
0.000 0.000 8.663
```

(7)
This record from Alexandria describes a geometry-optimized MnFeRu2 structure. The functional is PBE.

Computed properties:
The total energy comes out at -8.859 eV per atom.

POSCAR file:
```
MnFeRu2
1.0
-2.217 3.347 7.592
-4.551 3.561 6.354
-3.888 1.289 7.549
Fe Mn Ru
1 1 2
Cartesian
-5.308 4.084 10.708
-7.996 6.152 16.131
-0.047 0.036 0.095
-2.631 2.024 5.308
```

(8)
This record from Alexandria describes a geometry-optimized MnFe2Ru structure. The functional is PBE.

Computed properties:
The total energy comes out at -8.723 eV per atom.

POSCAR file:
```
MnFe2Ru
1.0
-2.168 2.187 3.784
-4.638 1.414 -0.538
3.108 -3.760 -0.069
Fe Mn Ru
2 1 1
Cartesian
-6.794 3.594 3.241
-3.416 1.807 1.629
-1.232 0.114 2.669
-2.467 -0.273 0.509
```

(9)
This record from Alexandria describes a geometry-optimized MnFe3Ru structure. The functional is PBE.

Computed properties:
The distance to the lowest polymorph of the same formula comes out at 0 meV per atom.

POSCAR file:
```
MnFe3Ru
1.0
-0.132 3.966 -1.153
-2.132 -1.053 -3.380
-3.538 0.487 2.080
Ru Mn Fe
1 1 3
Cartesian
-2.901 1.700 -1.226
0.000 0.000 0.000
-1.066 -0.527 -1.690
-1.769 0.243 1.040
-0.066 1.983 -0.576
```

(10)
This record from Alexandria describes a geometry-optimized MnFeRu2 structure. The functional is PBE.

Computed properties:
The total energy comes out at -7.843 eV per atom.

POSCAR file:
```
MnFeRu2
1.0
-0.098 4.330 3.200
-1.897 -3.023 4.033
3.501 -0.288 5.027
Ru Mn Fe
4 2 2
Cartesian
0.577 2.263 3.765
-0.322 -1.426 4.173
1.881 0.279 6.477
0.878 0.924 10.105
-0.997 0.654 3.617
0.304 -1.329 6.338
0.000 0.000 0.000
1.203 2.348 5.922
```